1.
Material: Be2InTe
Method: DFT, PBE-GGA
State: optimized geometry

Summary:
The formation energy without anion corrections comes out at 34.41 kJ per mole of atoms. The total energy is -2.9765 eV/atom.

Unit cell a=6.4643 b=6.4643 c=6.4643 alpha=34.41 beta=34.41 gamma=34.41
Closest atoms and distances in Å follow each position.
Element x y z (fractional)
Be (0.2811, 0.2811, 0.2811)  3 Be 2.24
Be (0.9693, 0.9693, 0.9693)  3 Be 2.24
Te (0.7185, 0.7185, 0.7185)  6 Be 2.67-2.91
In (0.5311, 0.5311, 0.5311)  6 Be 2.68-2.92

---

2.
Material: BeIn2Te
Method: DFT, PBE-GGA
State: optimized geometry

Summary:
The formation energy without anion corrections comes out at 18.65 kJ per mole of atoms. The total energy is -2.8929 eV/atom.

Unit cell a=6.3486 b=6.3486 c=6.3486 alpha=146.25 beta=132.44 gamma=59.58
Closest atoms and distances in Å follow each position.
Element x y z (fractional)
Te (0.4148, 0.4148, 0.0000)  2 Be 2.42
In (0.0748, 0.0748, 0.0000)  2 Be 2.85, 2 In 3.13
In (0.7386, 0.2386, 0.5000)  2 In 3.13, 4 Be 3.18, 2 Te 3.21
Be (0.2718, 0.7718, 0.5000)  2 Te 2.42

---

3.
Material: BeIn2Te
Method: DFT, PBE-GGA
State: optimized geometry

Summary:
The formation energy without anion corrections comes out at 47.13 kJ per mole of atoms. The total energy is -2.5978 eV/atom.

Unit cell a=6.1037 b=6.1037 c=3.0963 alpha=90.00 beta=90.00 gamma=120.14
Closest atoms and distances in Å follow each position.
Element x y z (fractional)
In (0.0000, 0.0000, 0.0000)  4 In 3.05-3.10
In (0.5000, 0.5000, 0.0000)  4 In 3.05-3.10
Be (0.0000, 0.5000, 0.5000)  2 Te 3.05, 2 Be 3.10
Te (0.5000, 0.0000, 0.5000)  2 Be 3.05, 2 Te 3.10

---

4.
Material: Be2InTeW
Method: DFT, PBE-GGA
State: optimized geometry

Summary:
The formation energy without anion corrections comes out at 129.48 kJ per mole of atoms. The total energy is -3.9152 eV/atom.

Unit cell a=4.5354 b=4.5354 c=5.3201 alpha=90.00 beta=90.00 gamma=90.00
Closest atoms and distances in Å follow each position.
Element x y z (fractional)
Be (0.0000, 0.5000, 0.0000)  2 W 2.27
Be (0.5000, 0.0000, 0.0000)  2 W 2.27
W (0.0000, 0.0000, 0.0000)  4 Be 2.27
In (0.0000, 0.0000, 0.5000)  2 W 2.66
Te (0.5000, 0.5000, 0.5000)  4 In 3.21, 8 Be 3.50

---

5.
Material: ZrBeInTe2
Method: DFT, PBE-GGA
State: optimized geometry

Summary:
The formation energy without anion corrections comes out at 69.15 kJ per mole of atoms. The total energy is -3.5425 eV/atom.

Unit cell a=5.7675 b=4.3689 c=5.7675 alpha=90.00 beta=90.00 gamma=90.00
Closest atoms and distances in Å follow each position.
Element x y z (fractional)
Te (0.0000, 0.0000, 0.5000)  2 In 2.88
Te (0.5000, 0.0000, 0.0000)  2 In 2.88
Zr (0.5000, 0.5000, 0.5000)  8 Te 3.62
In (0.0000, 0.0000, 0.0000)  2 Be 2.18
Be (0.0000, 0.5000, 0.0000)  2 In 2.18

---

6.
Material: ThBeIn
Method: DFT, PBE-GGA
State: optimized geometry

Summary:
The total energy is -4.6496 eV/atom. The energy of formation comes out at -0.49 kcal/mol of atoms.

Unit cell a=4.6435 b=4.6435 c=4.6435 alpha=60.00 beta=60.00 gamma=60.00
Closest atoms and distances in Å follow each position.
Element x y z (fractional)
In (0.0000, 0.0000, 0.0000)  4 Be 2.84
Th (0.5000, 0.5000, 0.5000)  4 Be 2.84
Be (0.2500, 0.2500, 0.2500)  4 In 2.84, 4 Th 2.84

---

7.
Material: ThBeIn
Method: DFT, PBE-GGA
State: optimized geometry

Summary:
The total energy is -4.7064 eV/atom. The energy of formation comes out at -1.80 kcal/mol of atoms.

Unit cell a=3.8952 b=4.3463 c=8.3918 alpha=74.99 beta=90.00 gamma=90.00
Closest atoms and distances in Å follow each position.
Element x y z (fractional)
Th (0.7500, 0.9116, 0.1769)  6 Be 2.95-3.05
Th (0.2500, 0.0884, 0.8231)  6 Be 2.95-3.05
Be (0.7500, 0.5342, 0.9316)  2 Be 2.24
Be (0.2500, 0.4658, 0.0684)  2 Be 2.24
In (0.2500, 0.2956, 0.4087)  1 Be 2.76
In (0.7500, 0.7044, 0.5913)  1 Be 2.76

---

8.
Material: TiBe2In
Method: DFT, PBE-GGA
State: optimized geometry

Summary:
The total energy is -3.9085 eV/atom. The energy of formation comes out at 14.13 kcal/mol of atoms.

Unit cell a=3.8990 b=3.8990 c=9.2325 alpha=77.81 beta=77.81 gamma=90.00
Closest atoms and distances in Å follow each position.
Element x y z (fractional)
Be (0.3750, 0.4539, 0.7500)  2 Be 2.36, 2 Ti 2.50
Be (0.8750, 0.7961, 0.7500)  2 Be 2.36, 2 Ti 2.50
Be (0.5461, 0.1250, 0.2500)  2 Be 2.36, 2 Ti 2.50
Be (0.2039, 0.6250, 0.2500)  2 Be 2.36, 2 Ti 2.50
Ti (0.5000, 0.5000, 0.0000)  4 Be 2.50, 4 In 2.76
Ti (0.2500, 0.7500, 0.5000)  4 Be 2.50, 4 In 2.76
In (0.0000, 0.0000, 0.0000)  4 Be 2.73, 4 Ti 2.76
In (0.7500, 0.2500, 0.5000)  4 Be 2.73, 4 Ti 2.76

---

9.
Material: TiBeIn2
Method: DFT, PBE-GGA
State: optimized geometry

Summary:
The total energy is -3.9600 eV/atom. The energy of formation comes out at 7.25 kcal/mol of atoms.

Unit cell a=7.3932 b=7.3932 c=5.9195 alpha=51.36 beta=51.36 gamma=90.00
Closest atoms and distances in Å follow each position.
Element x y z (fractional)
Ti (0.0000, 0.0000, 0.0000)  2 Be 2.78, 4 In 2.98
Ti (0.7500, 0.2500, 0.5000)  2 Be 2.78, 4 In 2.98
In (0.5725, 0.1250, 0.2500)  2 Be 2.46
In (0.8750, 0.8225, 0.7500)  2 Be 2.46
In (0.3750, 0.4275, 0.7500)  2 Be 2.46
In (0.1775, 0.6250, 0.2500)  2 Be 2.46
Be (0.2500, 0.7500, 0.5000)  4 In 2.46
Be (0.5000, 0.5000, 0.0000)  4 In 2.46

---

10.
Material: Ti2Be2In
Method: DFT, PBE-GGA
State: optimized geometry

Summary:
The total energy is -5.3530 eV/atom. The energy of formation comes out at -3.62 kcal/mol of atoms.

Unit cell a=6.7373 b=6.7373 c=3.1388 alpha=90.00 beta=90.00 gamma=90.00
Closest atoms and distances in Å follow each position.
Element x y z (fractional)
Ti (0.6755, 0.8245, 0.5000)  6 Be 2.53-2.57
Ti (0.1755, 0.6755, 0.5000)  6 Be 2.53-2.57
Ti (0.8245, 0.3245, 0.5000)  6 Be 2.53-2.57
Ti (0.3245, 0.1755, 0.5000)  6 Be 2.53-2.57
Be (0.8887, 0.6113, 0.0000)  1 Be 2.12
Be (0.6113, 0.1113, 0.0000)  1 Be 2.12
Be (0.1113, 0.3887, 0.0000)  1 Be 2.12
Be (0.3887, 0.8887, 0.0000)  1 Be 2.12
In (0.0000, 0.0000, 0.0000)  4 Be 2.72, 8 Ti 2.94
In (0.5000, 0.5000, 0.0000)  4 Be 2.72, 8 Ti 2.94

---

11.
Material: TiBeIn3
Method: DFT, PBE-GGA
State: optimized geometry

Summary:
The total energy is -3.3466 eV/atom. The energy of formation comes out at 14.31 kcal/mol of atoms.

Unit cell a=4.7975 b=4.7975 c=4.7975 alpha=90.00 beta=90.00 gamma=90.00
Closest atoms and distances in Å follow each position.
Element x y z (fractional)
In (0.0000, 0.0000, 0.5000)  2 Be 2.40
In (0.0000, 0.5000, 0.0000)  2 Be 2.40
In (0.5000, 0.0000, 0.0000)  2 Be 2.40
Be (0.0000, 0.0000, 0.0000)  6 In 2.40
Ti (0.5000, 0.5000, 0.5000)  12 In 3.39

---

12.
Material: Ti6BeIn
Method: DFT, PBE-GGA
State: optimized geometry

Summary:
The total energy is -6.7834 eV/atom. The energy of formation comes out at -1.25 kcal/mol of atoms.

Unit cell a=4.0609 b=4.0609 c=8.0026 alpha=90.00 beta=90.00 gamma=90.00
Closest atoms and distances in Å follow each position.
Element x y z (fractional)
Ti (0.0000, 0.5000, 0.7318)  2 Be 2.75, 8 Ti 2.75-2.95, 2 In 2.95
Ti (0.5000, 0.0000, 0.7318)  8 Ti 2.75-2.95, 2 Be 2.75, 2 In 2.95
Ti (0.5000, 0.0000, 0.2682)  8 Ti 2.75-2.95, 2 Be 2.75, 2 In 2.95
Ti (0.5000, 0.5000, 0.5000)  8 Ti 2.75, 4 Be 2.87
Ti (0.5000, 0.5000, 0.0000)  4 In 2.87, 8 Ti 2.95
Ti (0.0000, 0.5000, 0.2682)  2 Be 2.75, 8 Ti 2.75-2.95, 2 In 2.95
Be (0.0000, 0.0000, 0.5000)  12 Ti 2.75-2.87
In (0.0000, 0.0000, 0.0000)  12 Ti 2.87-2.95

---

| no. | V (Å³/cell) |
| --- | --- |
| 1 | 76.9 |
| 2 | 104.0 |
| 3 | 99.8 |
| 4 | 109.4 |
| 5 | 145.3 |
| 6 | 70.8 |
| 7 | 137.2 |
| 8 | 134.0 |
| 9 | 151.8 |
| 10 | 142.5 |
| 11 | 110.4 |
| 12 | 132.0 |